VASP calculation (PBE) on an optimized crystal structure of CdGe.

Calculated values
The space-group type is No. 2. Its theoretical density is 7.2 g/cm³. Its total energy is -2.57 eV/atom. The formation energy is 193 meV per atom.

Lattice parameters (Å, degrees): 2.9214 2.9793 5.4406 82.48 89.54 65.54
Fractional coordinates of all 2 atoms:
1 Cd 0.0000 0.0000 0.0000
2 Ge 0.5000 0.0000 0.5000